K2GeBi | GGA-PBE | optimized geometry

Output
E_form (eV/atom): 0.114
Fermi-level density of states (states/eV per cell): 3.840

Lattice parameters (Å, degrees): 5.7863 5.7863 5.7863 60.00 60.00 60.00
Closest atoms and distances in Å follow each position.
Atoms (fractional coordinates):
1 K 0.2500 0.2500 0.2500  4 Ge 3.54, 4 Bi 3.54
2 K 0.7500 0.7500 0.7500  4 Ge 3.54, 4 Bi 3.54
3 Ge 0.0000 0.0000 0.0000  8 K 3.54
4 Bi 0.5000 0.5000 0.5000  8 K 3.54